CsAsPt: optimized geometry, PBE-GGA.

It has space group P2_1/c (No. 14), with a = 7.4482 Å, b = 7.1158 Å, c = 7.8164 Å, α = 90.00°, β = 115.60° and γ = 90.00°. The asymmetric unit holds Cs at (0.1605, 0.1271, 0.3745), As at (0.3270, 0.6459, 0.5862) and Pt at (0.4446, 0.6221, 0.3382).

As for the spin magnetization: 0.01 μB per cell. Its offset from the most stable computed form is 0 meV per atom.


LiCdFeSi: optimized geometry, PBE-GGA.

It has space group F-43m (No. 216), with a = 6.0330 Å, b = 6.0330 Å, c = 6.0330 Å, α = 90.00°, β = 90.00° and γ = 90.00°. The asymmetric unit holds Li at (0.0000, 0.0000, 0.0000), Cd at (0.2500, 0.2500, 0.7500), Fe at (0.0000, 0.0000, 0.5000) and Si at (0.2500, 0.2500, 0.2500).

As for the spin magnetization: 6.21 μB per cell. Its offset from the most stable computed form is 0 meV per atom.


LaPrTlCu2: optimized geometry, PBE-GGA.

It has space group Amm2 (No. 38), with a = 3.8764 Å, b = 4.2273 Å, c = 14.7429 Å, α = 90.00°, β = 90.00° and γ = 90.00°. The asymmetric unit holds La at (0.0000, 0.0000, 0.0000), Pr at (0.0000, 0.0000, 0.2661), Tl at (0.5000, 0.0000, 0.6341), Cu at (0.5000, 0.0000, 0.4292) and Cu at (0.5000, 0.0000, 0.8360).

As for the spin magnetization: 0.11 μB per cell. The calculation puts the electronic total energy at -41.815 eV/cell.


TbHoCl6: optimized geometry, PBE-GGA.

It has space group C2 (No. 5), with a = 6.8526 Å, b = 11.9037 Å, c = 6.4471 Å, α = 90.00°, β = 110.93° and γ = 90.00°. The asymmetric unit holds Tb at (0.0000, 0.0000, 0.0000), Ho at (0.0000, 0.6688, 0.0000), Cl at (0.2232, 0.8330, 0.2452), Cl at (0.2391, 0.6565, 0.7590) and Cl at (0.2432, 0.0140, 0.7585).

As for the spin magnetization: 0.00 μB per cell. The calculation puts the electronic total energy at -77.000 eV/cell.